#A
# GGA-PBE Er4Bi2B, optimized geometry
# - Mass density: 9.497 Mg/m³
data_Er4Bi2B
_chemical_formula_sum 'Er4 Bi2 B1'
_cell_length_a 4.910
_cell_length_b 4.910
_cell_length_c 8.686
_cell_angle_alpha 106.42
_cell_angle_beta 106.42
_cell_angle_gamma 90.00
_symmetry_space_group_name_H-M 'P 1'
_symmetry_Int_Tables_number 1
loop_
_symmetry_equiv_pos_as_xyz
'x,y,z'
loop_
_atom_site_label
_atom_site_fract_x
_atom_site_fract_y
_atom_site_fract_z
_atom_site_occupancy
B1 0.000 0.000 0.000 1
Bi1 0.643 0.643 0.286 1
Bi2 0.357 0.357 0.714 1
Er1 0.843 0.843 0.686 1
Er2 0.157 0.157 0.314 1
Er3 0.000 0.500 0.000 1
Er4 0.500 0.000 0.000 1

#B
# GGA-PBE Er4Bi2B, optimized geometry
# - Mass density: 9.302 Mg/m³
data_Er4Bi2B
_chemical_formula_sum 'Er8 Bi4 B2'
_cell_length_a 4.193
_cell_length_b 7.803
_cell_length_c 11.980
_cell_angle_alpha 90.00
_cell_angle_beta 90.00
_cell_angle_gamma 90.00
_symmetry_space_group_name_H-M 'P 1'
_symmetry_Int_Tables_number 1
loop_
_symmetry_equiv_pos_as_xyz
'x,y,z'
loop_
_atom_site_label
_atom_site_fract_x
_atom_site_fract_y
_atom_site_fract_z
_atom_site_occupancy
Er1 0.000 0.633 0.809 1
Er2 0.000 0.367 0.191 1
Er3 0.000 0.133 0.691 1
Er4 0.000 0.867 0.309 1
Er5 0.500 0.810 0.557 1
Er6 0.500 0.190 0.443 1
Er7 0.500 0.690 0.057 1
Er8 0.500 0.310 0.943 1
Bi1 0.500 0.929 0.833 1
Bi2 0.500 0.071 0.167 1
Bi3 0.500 0.429 0.667 1
Bi4 0.500 0.571 0.333 1
B1 0.000 0.000 0.500 1
B2 0.000 0.500 0.000 1

The computed energies, referenced to the most stable structure and given in meV/atom, are #A 0; #B 52.

#A
# GGA-PBE BiBF2, optimized geometry
# - Mass density: 5.788 Mg/m³
data_BiBF2
_chemical_formula_sum 'Bi1 B1 F2'
_cell_length_a 7.331
_cell_length_b 7.331
_cell_length_c 7.331
_cell_angle_alpha 27.46
_cell_angle_beta 27.46
_cell_angle_gamma 27.46
_symmetry_space_group_name_H-M 'P 1'
_symmetry_Int_Tables_number 1
loop_
_symmetry_equiv_pos_as_xyz
'x,y,z'
loop_
_atom_site_label
_atom_site_fract_x
_atom_site_fract_y
_atom_site_fract_z
_atom_site_occupancy
B1 0.500 0.500 0.500 1
Bi1 0.000 0.000 0.000 1
F1 0.890 0.890 0.890 1
F2 0.110 0.110 0.110 1

#B
# GGA-PBE BiBF2, optimized geometry
# - Mass density: 6.658 Mg/m³
data_BiBF2
_chemical_formula_sum 'Bi2 B2 F4'
_cell_length_a 5.666
_cell_length_b 5.666
_cell_length_c 5.666
_cell_angle_alpha 60.00
_cell_angle_beta 60.00
_cell_angle_gamma 60.00
_symmetry_space_group_name_H-M 'P 1'
_symmetry_Int_Tables_number 1
loop_
_symmetry_equiv_pos_as_xyz
'x,y,z'
loop_
_atom_site_label
_atom_site_fract_x
_atom_site_fract_y
_atom_site_fract_z
_atom_site_occupancy
Bi1 0.750 0.750 0.750 1
Bi2 0.500 0.500 0.500 1
B1 0.250 0.250 0.250 1
B2 0.000 0.000 0.000 1
F1 0.125 0.625 0.125 1
F2 0.625 0.125 0.125 1
F3 0.125 0.125 0.125 1
F4 0.125 0.125 0.625 1

The computed energies, referenced to the most stable structure and given in meV/atom, are #A 180; #B 0.

#A
# GGA-PBE BiBF2, optimized geometry
# - Mass density: 4.364 Mg/m³
data_BiBF2
_chemical_formula_sum 'Bi1 B1 F2'
_cell_length_a 10.782
_cell_length_b 10.782
_cell_length_c 10.782
_cell_angle_alpha 17.42
_cell_angle_beta 17.42
_cell_angle_gamma 17.42
_symmetry_space_group_name_H-M 'P 1'
_symmetry_Int_Tables_number 1
loop_
_symmetry_equiv_pos_as_xyz
'x,y,z'
loop_
_atom_site_label
_atom_site_fract_x
_atom_site_fract_y
_atom_site_fract_z
_atom_site_occupancy
B1 0.000 0.000 0.000 1
Bi1 0.500 0.500 0.500 1
F1 0.959 0.959 0.959 1
F2 0.041 0.041 0.041 1

#B
# GGA-PBE BiBF2, optimized geometry
# - Mass density: 7.504 Mg/m³
data_BiBF2
_chemical_formula_sum 'Bi1 B1 F2'
_cell_length_a 4.321
_cell_length_b 4.321
_cell_length_c 4.321
_cell_angle_alpha 60.00
_cell_angle_beta 60.00
_cell_angle_gamma 60.00
_symmetry_space_group_name_H-M 'P 1'
_symmetry_Int_Tables_number 1
loop_
_symmetry_equiv_pos_as_xyz
'x,y,z'
loop_
_atom_site_label
_atom_site_fract_x
_atom_site_fract_y
_atom_site_fract_z
_atom_site_occupancy
B1 0.000 0.000 0.000 1
Bi1 0.500 0.500 0.500 1
F1 0.250 0.250 0.250 1
F2 0.750 0.750 0.750 1

The computed energies, referenced to the most stable structure and given in meV/atom, are #A 0; #B 681.

#A
# GGA-PBE Bi2BF, optimized geometry
# - Mass density: 7.648 Mg/m³
data_Bi2BF
_chemical_formula_sum 'Bi4 B2 F2'
_cell_length_a 5.858
_cell_length_b 5.858
_cell_length_c 7.019
_cell_angle_alpha 65.33
_cell_angle_beta 65.33
_cell_angle_gamma 90.00
_symmetry_space_group_name_H-M 'P 1'
_symmetry_Int_Tables_number 1
loop_
_symmetry_equiv_pos_as_xyz
'x,y,z'
loop_
_atom_site_label
_atom_site_fract_x
_atom_site_fract_y
_atom_site_fract_z
_atom_site_occupancy
B1 0.500 0.500 0.000 1
B2 0.250 0.750 0.500 1
Bi1 0.593 0.125 0.250 1
Bi2 0.157 0.625 0.250 1
Bi3 0.375 0.407 0.750 1
Bi4 0.875 0.843 0.750 1
F1 0.000 0.000 0.000 1
F2 0.750 0.250 0.500 1

#B
# GGA-PBE Bi2BF, optimized geometry
# - Mass density: 10.180 Mg/m³
data_Bi2BF
_chemical_formula_sum 'Bi2 B1 F1'
_cell_length_a 4.692
_cell_length_b 4.692
_cell_length_c 4.692
_cell_angle_alpha 60.00
_cell_angle_beta 60.00
_cell_angle_gamma 60.00
_symmetry_space_group_name_H-M 'P 1'
_symmetry_Int_Tables_number 1
loop_
_symmetry_equiv_pos_as_xyz
'x,y,z'
loop_
_atom_site_label
_atom_site_fract_x
_atom_site_fract_y
_atom_site_fract_z
_atom_site_occupancy
B1 0.000 0.000 0.000 1
Bi1 0.250 0.250 0.250 1
Bi2 0.750 0.750 0.750 1
F1 0.500 0.500 0.500 1

The computed energies, referenced to the most stable structure and given in meV/atom, are #A 0; #B 85.

#A
# GGA-PBE BiB2F2, optimized geometry
# - Mass density: 6.427 Mg/m³
data_BiB2F2
_chemical_formula_sum 'Bi1 B2 F2'
_cell_length_a 2.844
_cell_length_b 2.844
_cell_length_c 8.811
_cell_angle_alpha 80.71
_cell_angle_beta 80.71
_cell_angle_gamma 90.00
_symmetry_space_group_name_H-M 'P 1'
_symmetry_Int_Tables_number 1
loop_
_symmetry_equiv_pos_as_xyz
'x,y,z'
loop_
_atom_site_label
_atom_site_fract_x
_atom_site_fract_y
_atom_site_fract_z
_atom_site_occupancy
B1 0.750 0.250 0.500 1
B2 0.250 0.750 0.500 1
Bi1 0.000 0.000 0.000 1
F1 0.400 0.400 0.200 1
F2 0.600 0.600 0.800 1

#B
# GGA-PBE BiB2F2, optimized geometry
# - Mass density: 5.464 Mg/m³
data_BiB2F2
_chemical_formula_sum 'Bi2 B4 F4'
_cell_length_a 7.714
_cell_length_b 7.714
_cell_length_c 2.744
_cell_angle_alpha 90.00
_cell_angle_beta 90.00
_cell_angle_gamma 90.00
_symmetry_space_group_name_H-M 'P 1'
_symmetry_Int_Tables_number 1
loop_
_symmetry_equiv_pos_as_xyz
'x,y,z'
loop_
_atom_site_label
_atom_site_fract_x
_atom_site_fract_y
_atom_site_fract_z
_atom_site_occupancy
B1 0.290 0.790 0.500 1
B2 0.790 0.710 0.500 1
B3 0.710 0.210 0.500 1
B4 0.210 0.290 0.500 1
Bi1 0.000 0.000 0.000 1
Bi2 0.500 0.500 0.000 1
F1 0.383 0.883 0.000 1
F2 0.883 0.617 0.000 1
F3 0.617 0.117 0.000 1
F4 0.117 0.383 0.000 1

The computed energies, referenced to the most stable structure and given in meV/atom, are #A 0; #B 279.

#A
# GGA-PBE BiBN2F, optimized geometry
# - Mass density: 5.216 Mg/m³
data_BiBN2F
_chemical_formula_sum 'Bi1 B1 N2 F1'
_cell_length_a 4.368
_cell_length_b 4.368
_cell_length_c 4.452
_cell_angle_alpha 90.00
_cell_angle_beta 90.00
_cell_angle_gamma 90.00
_symmetry_space_group_name_H-M 'P 1'
_symmetry_Int_Tables_number 1
loop_
_symmetry_equiv_pos_as_xyz
'x,y,z'
loop_
_atom_site_label
_atom_site_fract_x
_atom_site_fract_y
_atom_site_fract_z
_atom_site_occupancy
B1 0.500 0.500 0.500 1
N1 0.000 0.500 0.000 1
N2 0.500 0.000 0.000 1
Bi1 0.000 0.000 0.000 1
F1 0.000 0.000 0.500 1

#B
# GGA-PBE BiBN2F, optimized geometry
# - Mass density: 9.006 Mg/m³
data_BiBN2F
_chemical_formula_sum 'Bi1 B1 N2 F1'
_cell_length_a 3.533
_cell_length_b 3.533
_cell_length_c 3.941
_cell_angle_alpha 90.00
_cell_angle_beta 90.00
_cell_angle_gamma 90.00
_symmetry_space_group_name_H-M 'P 1'
_symmetry_Int_Tables_number 1
loop_
_symmetry_equiv_pos_as_xyz
'x,y,z'
loop_
_atom_site_label
_atom_site_fract_x
_atom_site_fract_y
_atom_site_fract_z
_atom_site_occupancy
B1 0.000 0.000 0.000 1
N1 0.000 0.500 0.000 1
N2 0.500 0.000 0.000 1
Bi1 0.500 0.500 0.500 1
F1 0.000 0.000 0.500 1

The computed energies, referenced to the most stable structure and given in meV/atom, are #A 1340; #B 0.